<one>
A geometry-optimized WC3Se structure, computed with GGA-PBE.

Unit cell a=4.161 b=4.161 c=4.161 alpha=90.00 beta=90.00 gamma=90.00
Element x y z (fractional)
1 W 0.000 0.000 0.000
2 C 0.000 0.000 0.500
3 C 0.000 0.500 0.000
4 C 0.500 0.000 0.000
5 Se 0.500 0.500 0.500

## Properties
Total magnetization: 0.000 μB/cell
N(E_F): 0.8852 states/eV per atom
Calculated volume: 14.40 Å³/atom

<two>
A geometry-optimized WC3Se structure, computed with GGA-PBE.

Unit cell a=3.816 b=3.816 c=3.816 alpha=90.00 beta=90.00 gamma=90.00
Element x y z (fractional)
1 W 0.000 0.000 0.000
2 C 0.000 0.500 0.500
3 C 0.500 0.000 0.500
4 C 0.500 0.500 0.000
5 Se 0.500 0.500 0.500

## Properties
Total magnetization: 0.002 μB/cell
N(E_F): 0.9507 states/eV per atom
Calculated volume: 11.11 Å³/atom

It turns out <one> is the most stable, with the second structure 77.1 kJ/mol of atoms higher.

<one>
A geometry-optimized YCSe3 structure, computed with GGA-PBE.

Unit cell a=5.451 b=5.451 c=5.451 alpha=90.00 beta=90.00 gamma=90.00
Element x y z (fractional)
1 Y 0.000 0.000 0.000
2 C 0.500 0.500 0.500
3 Se 0.000 0.000 0.500
4 Se 0.000 0.500 0.000
5 Se 0.500 0.000 0.000

## Properties
Total magnetization: 0.000 μB/cell
N(E_F): 2.4143 states/eV per atom
Calculated volume: 32.39 Å³/atom

<two>
A geometry-optimized YCSe3 structure, computed with GGA-PBE.

Unit cell a=4.532 b=4.532 c=4.532 alpha=90.00 beta=90.00 gamma=90.00
Element x y z (fractional)
1 Y 0.000 0.000 0.000
2 C 0.500 0.500 0.500
3 Se 0.000 0.500 0.500
4 Se 0.500 0.000 0.500
5 Se 0.500 0.500 0.000

## Properties
Total magnetization: 0.000 μB/cell
N(E_F): 0.5688 states/eV per atom
Calculated volume: 18.62 Å³/atom

It turns out <two> is the most stable, with the second structure 108.7 kJ/mol of atoms higher.

<one>
A geometry-optimized Y4CSe structure, computed with GGA-PBE.

Unit cell a=8.381 b=8.381 c=6.493 alpha=105.08 beta=105.08 gamma=124.84
Element x y z (fractional)
1 Y 0.020 0.392 0.235
2 Y 0.156 0.273 0.713
3 Y 0.273 0.156 0.213
4 Y 0.392 0.020 0.735
5 Y 0.608 0.980 0.265
6 Y 0.727 0.844 0.787
7 Y 0.844 0.727 0.287
8 Y 0.980 0.608 0.765
9 C 0.063 0.937 0.750
10 C 0.937 0.063 0.250
11 Se 0.428 0.572 0.250
12 Se 0.572 0.428 0.750

## Properties
Total magnetization: 0.000 μB/cell
N(E_F): 1.0051 states/eV per atom
Calculated volume: 25.80 Å³/atom

<two>
A geometry-optimized Y4CSe structure, computed with GGA-PBE.

Unit cell a=6.456 b=3.766 c=6.784 alpha=90.00 beta=108.73 gamma=90.00
Element x y z (fractional)
1 Y 0.233 0.000 0.209
2 Y 0.246 0.500 0.786
3 Y 0.754 0.500 0.214
4 Y 0.767 0.000 0.791
5 C 0.000 0.500 0.000
6 Se 0.000 0.000 0.500

## Properties
Total magnetization: 0.000 μB/cell
N(E_F): 0.9801 states/eV per atom
Calculated volume: 26.03 Å³/atom

It turns out <one> is the most stable, with the second structure 1.7 kJ/mol of atoms higher.

<one>
A geometry-optimized Y3CSe structure, computed with GGA-PBE.

Unit cell a=8.660 b=8.660 c=6.496 alpha=96.32 beta=96.32 gamma=82.30
Element x y z (fractional)
1 Y 0.023 0.185 0.111
2 Y 0.133 0.659 0.389
3 Y 0.185 0.023 0.611
4 Y 0.285 0.493 0.872
5 Y 0.341 0.867 0.111
6 Y 0.493 0.285 0.372
7 Y 0.507 0.715 0.628
8 Y 0.659 0.133 0.889
9 Y 0.715 0.507 0.128
10 Y 0.815 0.977 0.389
11 Y 0.867 0.341 0.611
12 Y 0.977 0.815 0.889
13 C 0.080 0.920 0.250
14 C 0.251 0.749 0.750
15 C 0.749 0.251 0.250
16 C 0.920 0.080 0.750
17 Se 0.174 0.337 0.487
18 Se 0.337 0.174 0.987
19 Se 0.663 0.826 0.013
20 Se 0.826 0.663 0.513

## Properties
Total magnetization: 0.000 μB/cell
N(E_F): 0.4385 states/eV per atom
Calculated volume: 23.88 Å³/atom

<two>
A geometry-optimized Y3CSe structure, computed with GGA-PBE.

Unit cell a=4.867 b=4.867 c=4.867 alpha=90.00 beta=90.00 gamma=90.00
Element x y z (fractional)
1 Y 0.000 0.000 0.500
2 Y 0.000 0.500 0.000
3 Y 0.500 0.000 0.000
4 C 0.000 0.000 0.000
5 Se 0.500 0.500 0.500

## Properties
Total magnetization: 0.000 μB/cell
N(E_F): 0.9209 states/eV per atom
Calculated volume: 23.05 Å³/atom

<three>
A geometry-optimized Y3CSe structure, computed with GGA-PBE.

Unit cell a=9.051 b=9.051 c=7.240 alpha=90.00 beta=90.00 gamma=156.24
Element x y z (fractional)
1 Y 0.010 0.990 0.750
2 Y 0.353 0.647 0.536
3 Y 0.353 0.647 0.964
4 Y 0.647 0.353 0.036
5 Y 0.647 0.353 0.464
6 Y 0.990 0.010 0.250
7 C 0.117 0.883 0.250
8 C 0.883 0.117 0.750
9 Se 0.203 0.797 0.750
10 Se 0.797 0.203 0.250

## Properties
Total magnetization: 0.000 μB/cell
N(E_F): 0.6419 states/eV per atom
Calculated volume: 23.90 Å³/atom

It turns out <one> is the most stable, with the second structure 17.7 kJ/mol of atoms higher.

<one>
A geometry-optimized ZnC2Se structure, computed with GGA-PBE.

Unit cell a=5.592 b=5.592 c=5.592 alpha=129.87 beta=129.87 gamma=73.62
Element x y z (fractional)
1 Zn 0.000 0.000 0.000
2 Zn 0.750 0.250 0.500
3 C 0.150 0.625 0.025
4 C 0.375 0.400 0.525
5 C 0.600 0.125 0.975
6 C 0.875 0.850 0.475
7 Se 0.250 0.750 0.500
8 Se 0.500 0.500 0.000

## Properties
Total magnetization: 0.000 μB/cell
N(E_F): 0.0000 states/eV per atom
Calculated volume: 12.56 Å³/atom

<two>
A geometry-optimized ZnC2Se structure, computed with GGA-PBE.

Unit cell a=4.045 b=4.045 c=4.045 alpha=60.00 beta=60.00 gamma=60.00
Element x y z (fractional)
1 Zn 0.000 0.000 0.000
2 C 0.250 0.250 0.250
3 C 0.750 0.750 0.750
4 Se 0.500 0.500 0.500

## Properties
Total magnetization: 0.000 μB/cell
N(E_F): 0.4310 states/eV per atom
Calculated volume: 11.70 Å³/atom

It turns out <one> is the most stable, with the second structure 108.7 kJ/mol of atoms higher.

<one>
A geometry-optimized ZnCSe3 structure, computed with GGA-PBE.

Unit cell a=4.887 b=4.887 c=4.887 alpha=90.00 beta=90.00 gamma=90.00
Element x y z (fractional)
1 Zn 0.000 0.000 0.000
2 C 0.500 0.500 0.500
3 Se 0.000 0.000 0.500
4 Se 0.000 0.500 0.000
5 Se 0.500 0.000 0.000

## Properties
Total magnetization: 0.369 μB/cell
N(E_F): 1.1095 states/eV per atom
Calculated volume: 23.34 Å³/atom

<two>
A geometry-optimized ZnCSe3 structure, computed with GGA-PBE.

Unit cell a=4.440 b=4.440 c=4.440 alpha=90.00 beta=90.00 gamma=90.00
Element x y z (fractional)
1 Zn 0.000 0.000 0.000
2 C 0.500 0.500 0.500
3 Se 0.000 0.500 0.500
4 Se 0.500 0.000 0.500
5 Se 0.500 0.500 0.000

## Properties
Total magnetization: 0.000 μB/cell
N(E_F): 0.5935 states/eV per atom
Calculated volume: 17.51 Å³/atom

It turns out <two> is the most stable, with the second structure 73.2 kJ/mol of atoms higher.

<one>
A geometry-optimized ZnC3Se structure, computed with GGA-PBE.

Unit cell a=4.023 b=4.023 c=4.023 alpha=90.00 beta=90.00 gamma=90.00
Element x y z (fractional)
1 Zn 0.000 0.000 0.000
2 C 0.000 0.000 0.500
3 C 0.000 0.500 0.000
4 C 0.500 0.000 0.000
5 Se 0.500 0.500 0.500

## Properties
Total magnetization: 0.457 μB/cell
N(E_F): 0.8240 states/eV per atom
Calculated volume: 13.02 Å³/atom

<two>
A geometry-optimized ZnC3Se structure, computed with GGA-PBE.

Unit cell a=3.932 b=3.932 c=3.932 alpha=90.00 beta=90.00 gamma=90.00
Element x y z (fractional)
1 Zn 0.000 0.000 0.000
2 C 0.000 0.500 0.500
3 C 0.500 0.000 0.500
4 C 0.500 0.500 0.000
5 Se 0.500 0.500 0.500

## Properties
Total magnetization: 0.000 μB/cell
N(E_F): 0.6205 states/eV per atom
Calculated volume: 12.16 Å³/atom

It turns out <two> is the most stable, with the second structure 11.8 kJ/mol of atoms higher.

<one>
A geometry-optimized ZrCSe3 structure, computed with GGA-PBE.

Unit cell a=5.218 b=5.218 c=5.218 alpha=90.00 beta=90.00 gamma=90.00
Element x y z (fractional)
1 Zr 0.000 0.000 0.000
2 C 0.500 0.500 0.500
3 Se 0.000 0.000 0.500
4 Se 0.000 0.500 0.000
5 Se 0.500 0.000 0.000

## Properties
Total magnetization: 0.737 μB/cell
N(E_F): 1.0728 states/eV per atom
Calculated volume: 28.42 Å³/atom

<two>
A geometry-optimized ZrCSe3 structure, computed with GGA-PBE.

Unit cell a=4.424 b=4.424 c=4.424 alpha=90.00 beta=90.00 gamma=90.00
Element x y z (fractional)
1 Zr 0.000 0.000 0.000
2 C 0.500 0.500 0.500
3 Se 0.000 0.500 0.500
4 Se 0.500 0.000 0.500
5 Se 0.500 0.500 0.000

## Properties
Total magnetization: 0.000 μB/cell
N(E_F): 0.2694 states/eV per atom
Calculated volume: 17.31 Å³/atom

It turns out <two> is the most stable, with the second structure 52.9 kJ/mol of atoms higher.